# 1
This record from the Alexandria database describes an optimized crystal structure of TbYTaN3. The functional is GGA-PBE.

Lattice parameters (Å, degrees): 3.2943 6.4280 9.4432 93.53 90.00 90.00
Positions (direct):
Tb1 0.7500 0.7953 0.7545
Tb2 0.2500 0.2047 0.2455
Y1 0.2500 0.6690 0.1124
Y2 0.7500 0.3310 0.8876
Ta1 0.2500 0.1448 0.5783
Ta2 0.7500 0.8552 0.4217
N1 0.2500 0.7955 0.5416
N2 0.7500 0.9013 0.2128
N3 0.7500 0.3954 0.1292
N4 0.7500 0.2045 0.4584
N5 0.2500 0.6046 0.8708
N6 0.2500 0.0987 0.7872

Summary:
Its magnetization is 0.0 Bohr magnetons per cell. For the uncorrected formation energy, the calculation gives -26.1 kcal/mol of atoms. As for the total energy: -9.1172 eV per atom.


# 2
This record from the Alexandria database describes an optimized crystal structure of TbZr2TaN4. The functional is GGA-PBE.

Lattice parameters (Å, degrees): 3.2621 5.6931 5.6589 109.09 90.00 90.00
Positions (direct):
Tb1 0.5000 0.5000 0.0000
Zr1 0.5000 0.0000 0.5000
Zr2 0.0000 0.5000 0.5000
Ta1 0.0000 0.0000 0.0000
N1 0.5000 0.2312 0.2415
N2 0.5000 0.7688 0.7585
N3 0.0000 0.2312 0.7448
N4 0.0000 0.7688 0.2552

Summary:
Its magnetization is 0.0 Bohr magnetons per cell. For the uncorrected formation energy, the calculation gives -33.8 kcal/mol of atoms. As for the total energy: -9.8242 eV per atom.


# 3
This record from the Alexandria database describes an optimized crystal structure of TbZrTaN3. The functional is GGA-PBE.

Lattice parameters (Å, degrees): 3.2061 6.8193 8.1975 91.41 90.00 90.00
Positions (direct):
Tb1 0.7500 0.8658 0.8256
Tb2 0.2500 0.1342 0.1744
Zr1 0.2500 0.6242 0.1372
Zr2 0.7500 0.3758 0.8628
Ta1 0.2500 0.1549 0.5762
Ta2 0.7500 0.8451 0.4238
N1 0.2500 0.8504 0.5894
N2 0.7500 0.8549 0.1489
N3 0.7500 0.3957 0.1252
N4 0.7500 0.1496 0.4106
N5 0.2500 0.6043 0.8748
N6 0.2500 0.1451 0.8511

Summary:
Its magnetization is 0.0 Bohr magnetons per cell. For the uncorrected formation energy, the calculation gives -27.3 kcal/mol of atoms. As for the total energy: -9.5202 eV per atom.


# 4
This record from the Alexandria database describes an optimized crystal structure of Tb4Zr3TaN8. The functional is GGA-PBE.

Lattice parameters (Å, degrees): 6.6493 6.7190 6.6495 119.66 120.00 90.00
Positions (direct):
Tb1 0.5000 0.0000 0.0000
Tb2 0.5000 0.0000 0.5000
Tb3 0.0000 0.0000 0.0000
Tb4 0.0000 0.0000 0.5000
Zr1 0.5000 0.5000 0.0000
Zr2 0.5000 0.5000 0.5000
Zr3 0.0000 0.5000 0.5000
Ta1 0.0000 0.5000 0.0000
N1 0.2375 0.7260 0.9885
N2 0.2376 0.7260 0.4751
N3 0.2566 0.2699 0.5133
N4 0.7510 0.7260 0.9885
N5 0.2490 0.2740 0.0115
N6 0.7434 0.7301 0.4867
N7 0.7624 0.2740 0.5249
N8 0.7625 0.2740 0.0115

Summary:
Its magnetization is 0.0 Bohr magnetons per cell. For the uncorrected formation energy, the calculation gives -37.3 kcal/mol of atoms. As for the total energy: -9.2823 eV per atom.


# 5
This record from the Alexandria database describes an optimized crystal structure of Tb3Zr2TaN6. The functional is GGA-PBE.

Lattice parameters (Å, degrees): 5.7412 5.7412 5.8324 99.47 99.47 119.97
Positions (direct):
Tb1 0.1674 0.8326 0.5000
Tb2 0.8326 0.1674 0.5000
Tb3 0.5000 0.5000 0.5000
Zr1 0.3336 0.6664 0.0000
Zr2 0.6664 0.3336 0.0000
Ta1 0.0000 0.0000 0.0000
N1 0.9249 0.6018 0.7754
N2 0.7524 0.7524 0.2281
N3 0.0751 0.3982 0.2246
N4 0.6018 0.9249 0.7754
N5 0.2476 0.2476 0.7719
N6 0.3982 0.0751 0.2246

Summary:
Its magnetization is 0.0 Bohr magnetons per cell. For the uncorrected formation energy, the calculation gives -36.6 kcal/mol of atoms. As for the total energy: -9.3198 eV per atom.


# 6
This record from the Alexandria database describes an optimized crystal structure of Tb3Zr3TaN8. The functional is GGA-PBE.

Lattice parameters (Å, degrees): 6.5636 6.5639 6.7337 119.17 89.99 120.00
Positions (direct):
Tb1 0.0000 0.0000 0.0000
Tb2 0.0000 0.5000 0.0000
Tb3 0.5000 0.5000 0.0000
Zr1 0.5000 0.0000 0.5000
Zr2 0.5000 0.5000 0.5000
Zr3 0.0000 0.5000 0.5000
Ta1 0.0000 0.0000 0.5000
N1 0.2561 0.5123 0.2684
N2 0.7439 0.4877 0.7316
N3 0.7719 0.5438 0.2860
N4 0.2281 0.4562 0.7140
N5 0.7719 0.0141 0.2860
N6 0.2281 0.9859 0.7140
N7 0.2422 0.0141 0.2860
N8 0.7578 0.9859 0.7140

Summary:
Its magnetization is 0.0 Bohr magnetons per cell. For the uncorrected formation energy, the calculation gives -35.8 kcal/mol of atoms. As for the total energy: -9.4183 eV per atom.


# 7
This record from the Alexandria database describes an optimized crystal structure of TaTcN3. The functional is GGA-PBE.

Lattice parameters (Å, degrees): 3.8234 3.8234 3.8234 90.00 90.00 90.00
Positions (direct):
N1 0.0000 0.5000 0.0000
N2 0.0000 0.0000 0.5000
N3 0.5000 0.0000 0.0000
Tc1 0.0000 0.0000 0.0000
Ta1 0.5000 0.5000 0.5000

Summary:
Its magnetization is 0.0 Bohr magnetons per cell. For the uncorrected formation energy, the calculation gives 19.5 kcal/mol of atoms. As for the total energy: -8.5949 eV per atom.


# 8
This record from the Alexandria database describes an optimized crystal structure of TaTcN2. The functional is GGA-PBE.

Lattice parameters (Å, degrees): 4.4795 4.4795 5.9974 68.07 68.07 90.00
Positions (direct):
N1 0.6259 0.1250 0.2500
N2 0.1241 0.6250 0.2500
N3 0.3750 0.3741 0.7500
N4 0.8750 0.8759 0.7500
Tc1 0.5000 0.5000 0.0000
Tc2 0.2500 0.7500 0.5000
Ta1 0.0000 0.0000 0.0000
Ta2 0.7500 0.2500 0.5000

Summary:
Its magnetization is 0.0 Bohr magnetons per cell. For the uncorrected formation energy, the calculation gives -6.9 kcal/mol of atoms. The calculation puts the relative energy among the computed polymorphs at 0.0 meV/atom. As for the total energy: -10.0175 eV per atom.